Compound: KInN3
Source: Alexandria via LeMat-Bulk
Functional: PBE
Structure: optimized geometry

Summary:
The value obtained for the formation energy without anion corrections is 13.0 eV per formula unit. Its volume is 115 Å³/f.u. As for the spin magnetization: 7.00 μB/f.u. As for the total energy: -15.79 eV/cell.

Cell and atoms, written as CIF:
```
data_KInN3
_chemical_formula_sum 'K1 In1 N3'
_cell_length_a 4.8586
_cell_length_b 4.8586
_cell_length_c 4.8586
_cell_angle_alpha 90.00
_cell_angle_beta 90.00
_cell_angle_gamma 90.00
_space_group_name_H-M_alt 'P m -3 m'
_space_group_IT_number 221
_space_group_name_Hall '-P 4 2 3'
loop_
_atom_site_label
_atom_site_type_symbol
_atom_site_fract_x
_atom_site_fract_y
_atom_site_fract_z
K1 K 0.0000 0.0000 0.0000
In1 In 0.5000 0.5000 0.5000
N1 N 0.0000 0.0000 0.5000
```